(1)
Sr6LiMg5, optimized geometry, DFT PBE-GGA; formation energy = -0.05 eV/atom; space-group type = P2/m (10); E_tot = -1.711 eV/atom
1.0
-5.8516 1.1926 -0.2497
-1.0073 -6.0902 -5.4791
-4.3890 -5.1623 6.5450
Mg Sr Li
5 6 1
direct
0.6670 0.0000 0.6647
0.3330 0.0000 0.3353
0.3357 0.5000 0.3320
0.6643 0.5000 0.6680
0.0000 0.5000 0.0000
0.1661 0.2507 0.6664
0.5000 0.2507 0.0000
0.5000 0.7493 0.0000
0.8339 0.7493 0.3336
0.1662 0.7493 0.6664
0.8338 0.2507 0.3336
0.0000 0.0000 0.0000

***

(2)
SrLi4Mg5, optimized geometry, DFT PBE-GGA; formation energy = -0.04 eV/atom; space-group type = P4/mmm (123); E_tot = -1.767 eV/atom
1.0
3.6014 0.0000 0.0000
0.0000 3.6014 0.0000
0.0000 0.0000 18.1536
Mg Li Sr
5 4 1
direct
0.5000 0.5000 0.3197
0.5000 0.5000 0.6803
0.5000 0.5000 0.5000
0.5000 0.5000 0.8573
0.5000 0.5000 0.1427
0.0000 0.0000 0.2301
0.0000 0.0000 0.4099
0.0000 0.0000 0.5901
0.0000 0.0000 0.7699
0.0000 0.0000 0.0000

***

(3)
Sr2Li3Mg17, optimized geometry, DFT PBE-GGA; formation energy = 0.07 eV/atom; space-group type = R-3m (166); E_tot = -1.574 eV/atom
1.0
-8.0243 2.1051 0.3038
-2.9639 -7.6503 -1.2652
-1.0924 -1.8562 8.0171
Li Sr Mg
3 2 17
direct
0.5000 0.0000 0.5000
0.0000 0.5000 0.5000
0.5000 0.5000 0.0000
0.3443 0.3443 0.3443
0.6557 0.6557 0.6557
0.1014 0.1014 0.1014
0.8116 0.3342 0.3342
0.2621 0.7379 0.0000
0.8986 0.8986 0.8986
0.7379 0.0000 0.2621
0.2621 0.0000 0.7379
0.6658 0.6658 0.1884
0.3342 0.3342 0.8116
0.5000 0.0000 0.0000
0.0000 0.2621 0.7379
0.1884 0.6658 0.6658
0.3342 0.8116 0.3342
0.7379 0.2621 0.0000
0.0000 0.5000 0.0000
0.6658 0.1884 0.6658
0.0000 0.0000 0.5000
0.0000 0.7379 0.2621

***

(4)
SrLi6Mg6, optimized geometry, DFT PBE-GGA; formation energy = -0.04 eV/atom; space-group type = Immm (71); E_tot = -1.784 eV/atom
1.0
-2.7676 4.4973 -1.7677
-7.7490 -1.4652 -0.3669
-2.1003 4.5522 6.0987
Mg Li Sr
6 6 1
direct
0.7185 0.7815 0.7815
0.0000 0.6451 0.3549
0.3562 0.6438 0.6438
0.0000 0.3549 0.6451
0.6438 0.3562 0.3562
0.2815 0.2185 0.2185
0.5000 0.5000 0.0000
0.5000 0.0000 0.5000
0.5000 0.2236 0.7764
0.0000 0.0000 0.5000
0.5000 0.7764 0.2236
0.0000 0.5000 0.0000
0.0000 0.0000 0.0000